Record 1
First-principles (PBE) data for a relaxed structure of Ta2CdS2, as listed in the Alexandria database.

Cell: 5.959 5.959 5.959 Å, 137.00 137.00 62.44°
Fractional positions:
Ta  0.132  0.132  0.000
Ta  0.868  0.868  0.000
Cd  0.500  0.500  0.000
S  0.250  0.750  0.500
S  0.750  0.250  0.500

Results
Fermi-level density of states: 2.3 states/eV/f.u.
Theoretical density: 9.198 g/cm3
Electronic total energy: -33.7 eV/cell



Record 2
First-principles (PBE) data for a relaxed structure of LaInCu3, as listed in the Alexandria database.

Cell: 5.329 5.329 5.329 Å, 90.00 90.00 90.00°
Fractional positions:
La  0.000  0.000  0.000
In  0.500  0.500  0.500
Cu  0.000  0.000  0.500
Cu  0.000  0.500  0.000
Cu  0.500  0.000  0.000

Results
Fermi-level density of states: 1.8 states/eV/f.u.
Theoretical density: 4.876 g/cm3
Electronic total energy: -15.2 eV/cell
Formation energy: 0.9605 eV per atom



Record 3
First-principles (PBE) data for a relaxed structure of ZnAs2Br, as listed in the Alexandria database.

Cell: 7.828 7.828 7.828 Å, 152.47 152.47 39.33°
Fractional positions:
Zn  0.000  0.000  0.000
As  0.250  0.750  0.500
As  0.750  0.250  0.500
Br  0.500  0.500  0.000

Results
Fermi-level density of states: 2.5 states/eV/f.u.
Theoretical density: 4.789 g/cm3
Electronic total energy: -11.4 eV/cell



Record 4
First-principles (PBE) data for a relaxed structure of Tm3SbRu, as listed in the Alexandria database.

Cell: 4.327 6.693 9.025 Å, 90.00 90.00 90.00°
Fractional positions:
Tm  0.250  0.004  0.150
Tm  0.250  0.250  0.592
Tm  0.250  0.496  0.150
Tm  0.750  0.504  0.850
Tm  0.750  0.750  0.408
Tm  0.750  0.996  0.850
Sb  0.250  0.750  0.642
Sb  0.750  0.250  0.358
Ru  0.250  0.250  0.895
Ru  0.750  0.750  0.105

Results
Fermi-level density of states: 2.6 states/eV/f.u.
Theoretical density: 9.272 g/cm3
Electronic total energy: -59.4 eV/cell